(1)
# YCl

A geometry-optimized YCl structure (PBE-GGA, Alexandria).

It has space group Imma (No. 74), with a = 3.383 Å, b = 4.797 Å, c = 12.439 Å, α = 90.00°, β = 90.00° and γ = 90.00°. The inequivalent atoms are Y at (0.000, 0.250, 0.120) and Cl at (0.000, 0.250, 0.584).

The value obtained for the total magnetization is 0.3 μB per formula unit. The calculation puts the total DFT energy (no corrections) at -5.2073 eV per atom. The value obtained for the raw formation energy is -2.10 eV/f.u. The calculation puts the volume at 201.9 Å³ per cell.

(2)
# Ca2SnO

A geometry-optimized Ca2SnO structure (PBE-GGA, Alexandria).

It has space group R-3m (No. 166, hexagonal axes), with a = 3.5853 Å, b = 3.5853 Å, c = 23.0993 Å, α = 90.00°, β = 90.00° and γ = 120.00°. The inequivalent atoms are Ca at (0.0000, 0.0000, 0.2253), Sn at (0.0000, 0.0000, 0.0000) and O at (0.0000, 0.0000, 0.5000).

The value obtained for the total magnetization is 0.0 μB per formula unit. The calculation puts the total DFT energy (no corrections) at -4.9100 eV per atom. The value obtained for the raw formation energy is -6.68 eV/f.u. The calculation puts the volume at 257.2 Å³ per cell. Its relative energy among the computed polymorphs is 0 meV per atom.

(3)
# Zn2TcPdSe

A geometry-optimized Zn2TcPdSe structure (PBE-GGA, Alexandria).

It has space group P4/mmm (No. 123), with a = 4.878 Å, b = 4.878 Å, c = 4.554 Å, α = 90.00°, β = 90.00° and γ = 90.00°. The inequivalent atoms are Zn at (0.000, 0.500, 0.000), Tc at (0.000, 0.000, 0.000), Pd at (0.500, 0.500, 0.500) and Se at (0.000, 0.000, 0.500).

The value obtained for the total magnetization is 0.0 μB per formula unit. The calculation puts the total DFT energy (no corrections) at -3.7677 eV per atom. The value obtained for the raw formation energy is 2.75 eV/f.u. The calculation puts the volume at 108.4 Å³ per cell.

(4)
# K4I3Cl

A geometry-optimized K4I3Cl structure (PBE-GGA, Alexandria).

It has space group Cmmm (No. 65), with a = 9.976 Å, b = 13.987 Å, c = 4.897 Å, α = 90.00°, β = 90.00° and γ = 90.00°. The inequivalent atoms are K at (0.000, 0.240, 0.000), K at (0.231, 0.000, 0.500), I at (0.000, 0.500, 0.000), I at (0.250, 0.250, 0.500) and Cl at (0.000, 0.000, 0.000).

The value obtained for the total magnetization is 0.0 μB per formula unit. The calculation puts the total DFT energy (no corrections) at -2.9441 eV per atom. The value obtained for the raw formation energy is -12.67 eV/f.u. The calculation puts the volume at 683.3 Å³ per cell.